No. 1
Density functional theory data (PBE) for CdSi2Ir after structural relaxation.

Lattice parameters (Å, degrees): 3.0779 3.0779 24.3892 90.00 90.00 120.00
Space group R-3m (No. 166, hexagonal axes)
Symmetry-distinct sites (fractional):
Cd  0.0000  0.0000  0.0000 [3 per cell]
Si  0.0000  0.0000  0.2385 [6 per cell]
Ir  0.0000  0.0000  0.5000 [3 per cell]

Properties
Formation energy (no corrections) = 0.1 eV/f.u.
Total DFT energy (no corrections) = -20.52 eV per formula unit

***

No. 2
Density functional theory data (PBE) for Cd2SiIr after structural relaxation.

Lattice parameters (Å, degrees): 3.311 4.051 5.265 90.00 90.00 90.00
Space group Pmmm (No. 47)
Symmetry-distinct sites (fractional):
Cd  0.000  0.000  0.248 [2 per cell]
Si  0.500  0.500  0.500 [1 per cell]
Ir  0.500  0.500  0.000 [1 per cell]

Properties
Formation energy (no corrections) = 1.0 eV/f.u.
Total DFT energy (no corrections) = -15.12 eV per formula unit

***

No. 3
Density functional theory data (PBE) for CdSiIr3 after structural relaxation.

Lattice parameters (Å, degrees): 4.457 4.457 4.457 90.00 90.00 90.00
Space group Pm-3m (No. 221)
Symmetry-distinct sites (fractional):
Cd  0.000  0.000  0.000 [1 per cell]
Si  0.500  0.500  0.500 [1 per cell]
Ir  0.000  0.500  0.500 [3 per cell]

Properties
Formation energy (no corrections) = 2.2 eV/f.u.
Total DFT energy (no corrections) = -30.67 eV per formula unit
Energy relative to the lowest polymorph listed for this composition = 0.0000 eV per atom

***

No. 4
Density functional theory data (PBE) for CdSi2Ir after structural relaxation.

Lattice parameters (Å, degrees): 8.434 2.902 6.477 90.00 109.52 90.00
Space group Cm (No. 8)
Symmetry-distinct sites (fractional):
Cd  0.000  0.000  0.000 [2 per cell]
Si  0.139  0.500  0.614 [2 per cell]
Si  0.307  0.500  0.260 [2 per cell]
Ir  0.351  0.000  0.578 [2 per cell]

Properties
Formation energy (no corrections) = -0.4 eV/f.u.
Total DFT energy (no corrections) = -21.00 eV per formula unit

***

No. 5
Density functional theory data (PBE) for CdSi2Ir after structural relaxation.

Lattice parameters (Å, degrees): 5.512 7.480 3.069 90.00 90.00 90.00
Space group Cmmm (No. 65)
Symmetry-distinct sites (fractional):
Cd  0.000  0.000  0.000 [2 per cell]
Si  0.250  0.250  0.500 [4 per cell]
Ir  0.000  0.500  0.000 [2 per cell]

Properties
Formation energy (no corrections) = 1.4 eV/f.u.
Total DFT energy (no corrections) = -19.27 eV per formula unit

***

No. 6
Density functional theory data (PBE) for CdSi2Ir2 after structural relaxation.

Lattice parameters (Å, degrees): 3.872 3.872 5.506 90.00 90.00 90.00
Space group P4/mmm (No. 123)
Symmetry-distinct sites (fractional):
Cd  0.000  0.000  0.000 [1 per cell]
Si  0.000  0.500  0.500 [2 per cell]
Ir  0.500  0.500  0.240 [2 per cell]

Properties
Formation energy (no corrections) = -0.9 eV/f.u.
Total DFT energy (no corrections) = -30.39 eV per formula unit

***

No. 7
Density functional theory data (PBE) for Cd2SiIr after structural relaxation.

Lattice parameters (Å, degrees): 10.386 10.386 4.520 90.00 90.00 90.00
Space group I-42d (No. 122)
Symmetry-distinct sites (fractional):
Cd  0.001  0.250  0.125 [8 per cell]
Si  0.000  0.000  0.500 [4 per cell]
Ir  0.000  0.000  0.000 [4 per cell]

Properties
Formation energy (no corrections) = 0.2 eV/f.u.
Total DFT energy (no corrections) = -15.90 eV per formula unit

***

No. 8
Density functional theory data (PBE) for CdSi2Ir after structural relaxation.

Lattice parameters (Å, degrees): 4.158 4.158 3.676 90.00 90.00 90.00
Space group P4/mmm (No. 123)
Symmetry-distinct sites (fractional):
Cd  0.000  0.000  0.000 [1 per cell]
Si  0.000  0.500  0.500 [2 per cell]
Ir  0.500  0.500  0.000 [1 per cell]

Properties
Formation energy (no corrections) = 1.4 eV/f.u.
Total DFT energy (no corrections) = -19.22 eV per formula unit

***

No. 9
Density functional theory data (PBE) for CdSi2Ir after structural relaxation.

Lattice parameters (Å, degrees): 2.798 4.792 10.628 90.00 90.00 90.00
Space group Immm (No. 71)
Symmetry-distinct sites (fractional):
Cd  0.000  0.000  0.000 [2 per cell]
Si  0.000  0.500  0.195 [4 per cell]
Ir  0.000  0.000  0.500 [2 per cell]

Properties
Formation energy (no corrections) = 0.5 eV/f.u.
Total DFT energy (no corrections) = -20.11 eV per formula unit

***

No. 10
Density functional theory data (PBE) for CdSiIr after structural relaxation.

Lattice parameters (Å, degrees): 2.9741 2.9741 6.5802 90.00 90.00 120.00
Space group P3m1 (No. 156)
Symmetry-distinct sites (fractional):
Cd  0.0000  0.0000  0.0000 [1 per cell]
Si  0.3333  0.6667  0.6220 [1 per cell]
Ir  0.6667  0.3333  0.3642 [1 per cell]

Properties
Formation energy (no corrections) = -0.1 eV/f.u.
Total DFT energy (no corrections) = -15.31 eV per formula unit

***

No. 11
Density functional theory data (PBE) for CdSi2Ir2 after structural relaxation.

Lattice parameters (Å, degrees): 7.329 7.329 2.821 90.00 90.00 90.00
Space group P4/mbm (No. 127)
Symmetry-distinct sites (fractional):
Cd  0.000  0.000  0.000 [2 per cell]
Si  0.148  0.352  0.500 [4 per cell]
Ir  0.144  0.644  0.000 [4 per cell]

Properties
Formation energy (no corrections) = -1.4 eV/f.u.
Total DFT energy (no corrections) = -30.91 eV per formula unit

***

No. 12
Density functional theory data (PBE) for Sr2CdSiIr after structural relaxation.

Lattice parameters (Å, degrees): 5.898 5.898 4.583 90.00 90.00 90.00
Space group P4/mmm (No. 123)
Symmetry-distinct sites (fractional):
Sr  0.000  0.500  0.000 [2 per cell]
Cd  0.000  0.000  0.500 [1 per cell]
Si  0.500  0.500  0.500 [1 per cell]
Ir  0.500  0.500  0.000 [1 per cell]

Properties
Formation energy (no corrections) = -1.6 eV/f.u.
Total DFT energy (no corrections) = -20.20 eV per formula unit

***

No. 13
Density functional theory data (PBE) for TaCd2SiIr after structural relaxation.

Lattice parameters (Å, degrees): 5.413 5.413 4.689 90.00 90.00 90.00
Space group P4/mmm (No. 123)
Symmetry-distinct sites (fractional):
Ta  0.000  0.000  0.000 [1 per cell]
Cd  0.000  0.500  0.000 [2 per cell]
Si  0.500  0.500  0.500 [1 per cell]
Ir  0.000  0.000  0.500 [1 per cell]

Properties
Formation energy (no corrections) = 7.3 eV/f.u.
Total DFT energy (no corrections) = -20.65 eV per formula unit

***

No. 14
Density functional theory data (PBE) for TiCdSi2Ir after structural relaxation.

Lattice parameters (Å, degrees): 4.737 4.737 4.679 90.00 90.00 90.00
Space group P4/mmm (No. 123)
Symmetry-distinct sites (fractional):
Ti  0.000  0.000  0.000 [1 per cell]
Cd  0.500  0.500  0.500 [1 per cell]
Si  0.000  0.500  0.000 [2 per cell]
Ir  0.000  0.000  0.500 [1 per cell]

Properties
Formation energy (no corrections) = 3.7 eV/f.u.
Total DFT energy (no corrections) = -24.84 eV per formula unit

***

No. 15
Density functional theory data (PBE) for Tl2CdSiIr after structural relaxation.

Lattice parameters (Å, degrees): 5.394 5.394 4.573 90.00 90.00 90.00
Space group P4/mmm (No. 123)
Symmetry-distinct sites (fractional):
Tl  0.000  0.500  0.000 [2 per cell]
Cd  0.000  0.000  0.500 [1 per cell]
Si  0.500  0.500  0.500 [1 per cell]
Ir  0.500  0.500  0.000 [1 per cell]

Properties
Formation energy (no corrections) = 1.0 eV/f.u.
Total DFT energy (no corrections) = -18.96 eV per formula unit

***

No. 16
Density functional theory data (PBE) for Sm5Cd2Ir after structural relaxation.

Lattice parameters (Å, degrees): 5.719 12.496 13.052 90.00 90.00 90.00
Space group Cmcm (No. 63)
Symmetry-distinct sites (fractional):
Sm  0.000  0.079  0.102 [8 per cell]
Sm  0.000  0.370  0.065 [8 per cell]
Sm  0.000  0.405  0.750 [4 per cell]
Cd  0.000  0.183  0.639 [8 per cell]
Ir  0.000  0.237  0.250 [4 per cell]

Properties
ΔE_f = -0.137 eV/atom
Total DFT energy (no corrections) = -35.38 eV per formula unit

***

No. 17
Density functional theory data (PBE) for SmCdIr after structural relaxation.

Lattice parameters (Å, degrees): 3.978 17.318 4.077 90.00 90.00 90.00
Space group Cmcm (No. 63)
Symmetry-distinct sites (fractional):
Sm  0.000  0.095  0.250 [4 per cell]
Cd  0.000  0.292  0.250 [4 per cell]
Ir  0.000  0.454  0.250 [4 per cell]

Properties
ΔE_f = -0.521 eV/atom
Total DFT energy (no corrections) = -16.06 eV per formula unit

***

No. 18
Density functional theory data (PBE) for Sm4Cd3Ir after structural relaxation.

Lattice parameters (Å, degrees): 3.670 3.670 15.501 90.00 90.00 90.00
Space group P4/mmm (No. 123)
Symmetry-distinct sites (fractional):
Sm  0.000  0.000  0.105 [2 per cell]
Sm  0.000  0.000  0.370 [2 per cell]
Cd  0.500  0.500  0.243 [2 per cell]
Cd  0.500  0.500  0.500 [1 per cell]
Ir  0.500  0.500  0.000 [1 per cell]

Properties
ΔE_f = -0.416 eV/atom
Total DFT energy (no corrections) = -33.81 eV per formula unit

***

No. 19
Density functional theory data (PBE) for Sm3CdIr8 after structural relaxation.

Lattice parameters (Å, degrees): 5.3780 5.3780 26.3862 90.00 90.00 120.00
Space group R3m (No. 160, hexagonal axes)
Symmetry-distinct sites (fractional):
Sm  0.0000  0.0000  0.0000 [3 per cell]
Sm  0.0000  0.0000  0.1277 [3 per cell]
Sm  0.0000  0.0000  0.6205 [3 per cell]
Cd  0.0000  0.0000  0.4977 [3 per cell]
Ir  0.0000  0.0000  0.3120 [3 per cell]
Ir  0.0000  0.0000  0.8121 [3 per cell]
Ir  0.0002  0.5001  0.0623 [9 per cell]
Ir  0.0005  0.5002  0.5616 [9 per cell]

Properties
ΔE_f = -0.543 eV/atom
Total DFT energy (no corrections) = -92.47 eV per formula unit

***

No. 20
Density functional theory data (PBE) for SmCdIr after structural relaxation.

Lattice parameters (Å, degrees): 14.045 4.800 4.796 90.00 108.88 90.00
Space group C2/m (No. 12)
Symmetry-distinct sites (fractional):
Sm  0.000  0.000  0.000 [2 per cell]
Sm  0.000  0.500  0.500 [2 per cell]
Cd  0.179  0.000  0.673 [4 per cell]
Ir  0.118  0.500  0.111 [4 per cell]

Properties
ΔE_f = -0.073 eV/atom
Total DFT energy (no corrections) = -14.71 eV per formula unit